No. 1
# Li2SnPb2 (PBE, optimized geometry)
# * crystal system: monoclinic
# * calculated formation energy: -0.1323 eV per atom
# * polymorph energy (0 for the lowest one): 43 meV/atom
data_Li2SnPb2
_chemical_formula_sum 'Li4 Sn2 Pb4'
_space_group_name_H-M_alt 'P 1 21/m 1'
_space_group_IT_number 11
_space_group_name_Hall '-P 2yb'
_cell_length_a 5.8947
_cell_length_b 3.4739
_cell_length_c 12.2388
_cell_angle_alpha 90.00
_cell_angle_beta 93.74
_cell_angle_gamma 90.00
loop_
_atom_site_label
_atom_site_type_symbol
_atom_site_fract_x
_atom_site_fract_y
_atom_site_fract_z
Li1 Li 0.1322 0.2500 0.4177
Li2 Li 0.3565 0.2500 0.1925
Sn1 Sn 0.0711 0.2500 0.7691
Pb1 Pb 0.2481 0.7500 0.9810
Pb2 Pb 0.3759 0.7500 0.5997

---

No. 2
# Sn3CCl (PBE, optimized geometry)
# * crystal system: cubic
# * polymorph energy (0 for the lowest one): 0 meV/atom
data_Sn3CCl
_chemical_formula_sum 'Sn3 C1 Cl1'
_space_group_name_H-M_alt 'P m -3 m'
_space_group_IT_number 221
_space_group_name_Hall '-P 4 2 3'
_cell_length_a 4.9589
_cell_length_b 4.9589
_cell_length_c 4.9589
_cell_angle_alpha 90.00
_cell_angle_beta 90.00
_cell_angle_gamma 90.00
loop_
_atom_site_label
_atom_site_type_symbol
_atom_site_fract_x
_atom_site_fract_y
_atom_site_fract_z
Sn1 Sn 0.0000 0.0000 0.5000
C1 C 0.0000 0.0000 0.0000
Cl1 Cl 0.5000 0.5000 0.5000

---

No. 3
# Nd4SiNi3 (PBE, optimized geometry)
# * crystal system: orthorhombic
# * calculated total energy: -5.649 eV/atom
data_Nd4SiNi3
_chemical_formula_sum 'Nd4 Si1 Ni3'
_space_group_name_H-M_alt 'P m m 2'
_space_group_IT_number 25
_space_group_name_Hall 'P 2 -2'
_cell_length_a 4.0969
_cell_length_b 4.1897
_cell_length_c 10.5972
_cell_angle_alpha 90.00
_cell_angle_beta 90.00
_cell_angle_gamma 90.00
loop_
_atom_site_label
_atom_site_type_symbol
_atom_site_fract_x
_atom_site_fract_y
_atom_site_fract_z
Nd1 Nd 0.0000 0.0000 0.0000
Nd2 Nd 0.0000 0.5000 0.2751
Nd3 Nd 0.5000 0.0000 0.4898
Nd4 Nd 0.5000 0.5000 0.7778
Si1 Si 0.0000 0.0000 0.6978
Ni1 Ni 0.0000 0.5000 0.5718
Ni2 Ni 0.5000 0.0000 0.2043
Ni3 Ni 0.5000 0.5000 0.0733

---

No. 4
# TaTiTc2 (PBE, optimized geometry)
# * crystal system: tetragonal
# * calculated formation energy: 0.3506 eV per atom
# * polymorph energy (0 for the lowest one): 877 meV/atom
data_TaTiTc2
_chemical_formula_sum 'Ta4 Ti4 Tc8'
_space_group_name_H-M_alt 'I -4 2 d'
_space_group_IT_number 122
_space_group_name_Hall 'I -4 2bw'
_cell_length_a 6.9812
_cell_length_b 6.9812
_cell_length_c 5.5009
_cell_angle_alpha 90.00
_cell_angle_beta 90.00
_cell_angle_gamma 90.00
loop_
_atom_site_label
_atom_site_type_symbol
_atom_site_fract_x
_atom_site_fract_y
_atom_site_fract_z
Ta1 Ta 0.0000 0.0000 0.0000
Ti1 Ti 0.0000 0.0000 0.5000
Tc1 Tc 0.2458 0.2500 0.6250

---

No. 5
# Zn2CrW (PBE, optimized geometry)
# * crystal system: orthorhombic
# * calculated formation energy: 0.2936 eV per atom
# * polymorph energy (0 for the lowest one): 115 meV/atom
data_Zn2CrW
_chemical_formula_sum 'Zn4 Cr2 W2'
_space_group_name_H-M_alt 'C m m m'
_space_group_IT_number 65
_space_group_name_Hall '-C 2 2'
_cell_length_a 3.3416
_cell_length_b 4.0040
_cell_length_c 8.4358
_cell_angle_alpha 90.00
_cell_angle_beta 90.00
_cell_angle_gamma 90.00
loop_
_atom_site_label
_atom_site_type_symbol
_atom_site_fract_x
_atom_site_fract_y
_atom_site_fract_z
Zn1 Zn 0.0000 0.0000 0.2385
Cr1 Cr 0.0000 0.5000 0.0000
W1 W 0.0000 0.5000 0.5000

---

No. 6
# CoOs (PBE, optimized geometry)
# * crystal system: trigonal
# * calculated formation energy: 0.2069 eV per atom
data_CoOs
_chemical_formula_sum 'Co6 Os6'
_space_group_name_H-M_alt 'R -3 m'
_space_group_IT_number 166
_space_group_name_Hall '-R 3 2"'
_cell_length_a 2.6722
_cell_length_b 2.6722
_cell_length_c 25.1404
_cell_angle_alpha 90.00
_cell_angle_beta 90.00
_cell_angle_gamma 120.00
loop_
_atom_site_label
_atom_site_type_symbol
_atom_site_fract_x
_atom_site_fract_y
_atom_site_fract_z
Co1 Co 0.0000 0.0000 0.1281
Os1 Os 0.0000 0.0000 0.3770

---

No. 7
# LiCeGe2Pd4 (PBE, optimized geometry)
# * crystal system: trigonal
# * calculated formation energy: -0.6551 eV per atom
data_LiCeGe2Pd4
_chemical_formula_sum 'Li3 Ce3 Ge6 Pd12'
_space_group_name_H-M_alt 'R -3 m'
_space_group_IT_number 166
_space_group_name_Hall '-R 3 2"'
_cell_length_a 4.3044
_cell_length_b 4.3044
_cell_length_c 25.3602
_cell_angle_alpha 90.00
_cell_angle_beta 90.00
_cell_angle_gamma 120.00
loop_
_atom_site_label
_atom_site_type_symbol
_atom_site_fract_x
_atom_site_fract_y
_atom_site_fract_z
Li1 Li 0.0000 0.0000 0.0000
Ce1 Ce 0.0000 0.0000 0.5000
Ge1 Ge 0.0000 0.0000 0.2621
Pd1 Pd 0.0000 0.0000 0.0987
Pd2 Pd 0.0000 0.0000 0.3664

---

No. 8
# La2Tb5Th (PBE, optimized geometry)
# * crystal system: orthorhombic
# * calculated formation energy: 0.1443 eV per atom
# * polymorph energy (0 for the lowest one): 113 meV/atom
data_La2Tb5Th
_chemical_formula_sum 'La8 Tb20 Th4'
_space_group_name_H-M_alt 'P b c n'
_space_group_IT_number 60
_space_group_name_Hall '-P 2n 2ab'
_cell_length_a 6.4677
_cell_length_b 26.7325
_cell_length_c 6.2435
_cell_angle_alpha 90.00
_cell_angle_beta 90.00
_cell_angle_gamma 90.00
loop_
_atom_site_label
_atom_site_type_symbol
_atom_site_fract_x
_atom_site_fract_y
_atom_site_fract_z
La1 La 0.2476 0.2154 0.1103
Tb1 Tb 0.0000 0.4715 0.2500
Tb2 Tb 0.2479 0.0876 0.1633
Tb3 Tb 0.2479 0.3528 0.1282
Th1 Th 0.0000 0.0281 0.7500

---

No. 9
# NiMoN3 (PBE, optimized geometry)
# * crystal system: cubic
# * calculated total energy: -7.226 eV/atom
data_NiMoN3
_chemical_formula_sum 'Ni1 Mo1 N3'
_space_group_name_H-M_alt 'P m -3 m'
_space_group_IT_number 221
_space_group_name_Hall '-P 4 2 3'
_cell_length_a 3.9194
_cell_length_b 3.9194
_cell_length_c 3.9194
_cell_angle_alpha 90.00
_cell_angle_beta 90.00
_cell_angle_gamma 90.00
loop_
_atom_site_label
_atom_site_type_symbol
_atom_site_fract_x
_atom_site_fract_y
_atom_site_fract_z
Ni1 Ni 0.0000 0.0000 0.0000
Mo1 Mo 0.5000 0.5000 0.5000
N1 N 0.0000 0.5000 0.5000

---

No. 10
# Tl2CoMo (PBE, optimized geometry)
# * crystal system: tetragonal
# * calculated formation energy: 0.8678 eV per atom
# * polymorph energy (0 for the lowest one): 423 meV/atom
data_Tl2CoMo
_chemical_formula_sum 'Tl4 Co2 Mo2'
_space_group_name_H-M_alt 'I -4 m 2'
_space_group_IT_number 119
_space_group_name_Hall 'I -4 -2'
_cell_length_a 4.0329
_cell_length_b 4.0329
_cell_length_c 9.2114
_cell_angle_alpha 90.00
_cell_angle_beta 90.00
_cell_angle_gamma 90.00
loop_
_atom_site_label
_atom_site_type_symbol
_atom_site_fract_x
_atom_site_fract_y
_atom_site_fract_z
Tl1 Tl 0.0000 0.0000 0.0000
Tl2 Tl 0.0000 0.5000 0.2500
Co1 Co 0.0000 0.5000 0.7500
Mo1 Mo 0.0000 0.0000 0.5000

---

No. 11
# Ac2CuOsO8 (PBE, optimized geometry)
# * crystal system: triclinic
# * calculated total energy: -7.176 eV/atom
data_Ac2CuOsO8
_chemical_formula_sum 'Ac2 Cu1 Os1 O8'
_space_group_name_H-M_alt 'P -1'
_space_group_IT_number 2
_space_group_name_Hall '-P 1'
_cell_length_a 4.4478
_cell_length_b 5.4642
_cell_length_c 7.1428
_cell_angle_alpha 82.85
_cell_angle_beta 86.27
_cell_angle_gamma 82.67
loop_
_atom_site_label
_atom_site_type_symbol
_atom_site_fract_x
_atom_site_fract_y
_atom_site_fract_z
Ac1 Ac 0.1972 0.0219 0.2374
Cu1 Cu 0.5000 0.5000 0.0000
Os1 Os 0.5000 0.5000 0.5000
O1 O 0.1902 0.7426 0.5569
O2 O 0.2963 0.2425 0.6238
O3 O 0.2963 0.8216 0.9427
O4 O 0.3191 0.4834 0.2592

---

No. 12
# BiW (PBE, optimized geometry)
# * crystal system: hexagonal
# * calculated formation energy: 1.9045 eV per atom
# * polymorph energy (0 for the lowest one): 1387 meV/atom
data_BiW
_chemical_formula_sum 'Bi2 W2'
_space_group_name_H-M_alt 'P 63/m m c'
_space_group_IT_number 194
_space_group_name_Hall '-P 6c 2c'
_cell_length_a 4.9368
_cell_length_b 4.9368
_cell_length_c 5.7043
_cell_angle_alpha 90.00
_cell_angle_beta 90.00
_cell_angle_gamma 120.00
loop_
_atom_site_label
_atom_site_type_symbol
_atom_site_fract_x
_atom_site_fract_y
_atom_site_fract_z
Bi1 Bi 0.3333 0.6667 0.2500
W1 W 0.3333 0.6667 0.7500